TlNiF3 | the Alexandria database | PBE+U | relaxed; magnetic moment = 2.0 Bohr magnetons per cell; energy relative to the lowest polymorph listed for this composition = 84.0 kJ per mole of atoms; VASP energy = -32.62 eV for the cell shown
1.0
-3.0938 -3.4552 0.0648
3.1821 -2.8822 -1.7554
2.4220 -5.1557 6.7278
Ni F Tl
2 6 2
direct
0.6686 0.1686 0.6628 Ni
0.8314 0.3314 0.3372 Ni
0.1397 0.3819 0.7207 F
0.3017 0.3017 0.3965 F
0.1397 0.8974 0.7207 F
0.6181 0.8603 0.2793 F
0.6983 0.6983 0.6035 F
0.1026 0.8603 0.2793 F
0.2500 0.7500 0.5000 Tl
0.0000 0.0000 0.0000 Tl